A geometry-optimized TbPr3Sn4 structure. Source: Alexandria via LeMat-Bulk, functional GGA-PBE.

CIF file:
```
data_TbPr3Sn4
_cell_length_a 4.055
_cell_length_b 7.176
_cell_length_c 17.678
_cell_angle_alpha 90.00
_cell_angle_beta 90.00
_cell_angle_gamma 90.00
_space_group_name_H-M_alt 'I m m m'
_space_group_IT_number 71
_space_group_name_Hall '-I 2 2'
loop_
_atom_site_label
_atom_site_type_symbol
_atom_site_fract_x
_atom_site_fract_y
_atom_site_fract_z
Tb1 Tb 0.000 0.000 0.000
Pr1 Pr 0.000 0.000 0.500
Pr2 Pr 0.000 0.500 0.295
Sn1 Sn 0.000 0.295 0.128
```

Values from the calculation:
formation energy	-0.573	eV per atom
DOS(E_F)	0.7043	states/eV/atom
ρ	6.820	g/cm³
total moment	0.00	μB per atom